{"formula": "MgRuPtBr2", "functional": "GGA-PBE", "state": "optimized geometry", "lattice_angstrom": [[4.907, 0.000, 0.000], [0.000, 5.199, 0.000], [0.000, 0.000, 4.907]], "species": ["Ru", "Mg", "Br", "Br", "Pt"], "frac_coords": [[0.500, 0.500, 0.500], [0.000, 0.000, 0.000], [0.500, 0.000, 0.000], [0.000, 0.000, 0.500], [0.000, 0.500, 0.000]], "crystal_system": "tetragonal", "raw_formation_energy_kj_per_mol_atoms": 75.1, "dos_at_fermi_per_ev_atom": 1.04}